Material: TmPaC
Method: DFT, GGA-PBE
State: relaxed

Structure (POSCAR):
```
TmPaC
1.0
1.6475 -4.9773 0.0000
1.6475 4.9773 0.0000
0.0000 0.0000 7.2501
Tm Pa C
2 2 2
Direct
0.2394 0.7606 0.7500 Tm
0.7606 0.2394 0.2500 Tm
0.5000 0.5000 0.0000 Pa
0.5000 0.5000 0.5000 Pa
0.0379 0.9621 0.2500 C
0.9621 0.0379 0.7500 C
```

Output
- Formation enthalpy at 0 K: -0.029 eV per formula unit
- Relative energy among the computed polymorphs: 221.4 meV/atom
- Density: 11507 kg/m3
- Space-group type: No. 63